Entry 1:
Here is a geometry-optimized CeNdDy5 structure from Alexandria. Energies are from PBE.

SG: P-1
ΔH_f (0 K): 48 meV/atom

Unit cell a=6.1648 b=7.9521 c=12.3650 alpha=105.06 beta=80.35 gamma=130.23
Last column: magnetic moment on the atom in μB.
Element x y z (fractional)
1 Ce 0.0000 0.0000 0.0000  0.74
2 Ce 0.0000 0.0000 0.5000  0.78
3 Nd 0.8599 0.1400 0.2840  0.01
4 Nd 0.1401 0.8600 0.7160  0.01
5 Dy 0.4284 0.5696 0.1404  0.03
6 Dy 0.7126 0.2832 0.5708  0.03
7 Dy 0.4282 0.5688 0.6409  0.03
8 Dy 0.1391 0.8564 0.2139  0.02
9 Dy 0.2901 0.7185 0.9301  0.03
10 Dy 0.7099 0.2815 0.0699  0.03
11 Dy 0.8609 0.1436 0.7861  0.02
12 Dy 0.5718 0.4312 0.3591  0.03
13 Dy 0.2874 0.7168 0.4292  0.03
14 Dy 0.5716 0.4304 0.8596  0.03

Entry 2:
Here is a geometry-optimized ScNbTc2 structure from Alexandria. Energies are from PBE.

SG: Fm-3m
ΔH_f (0 K): -263 meV/atom

Unit cell a=4.5363 b=4.5363 c=4.5363 alpha=60.00 beta=60.00 gamma=60.00
Element x y z (fractional)
1 Sc 0.0000 0.0000 0.0000
2 Nb 0.5000 0.5000 0.5000
3 Tc 0.2500 0.2500 0.2500
4 Tc 0.7500 0.7500 0.7500

Entry 3:
Here is a geometry-optimized NaMoAsSe2 structure from Alexandria. Energies are from PBE.

Formation energy without anion corrections: 1.473 eV/atom
SG: P4/mmm

Unit cell a=4.8990 b=4.8990 c=4.7669 alpha=90.00 beta=90.00 gamma=90.00
Element x y z (fractional)
1 Na 0.0000 0.0000 0.0000
2 Mo 0.5000 0.5000 0.5000
3 As 0.0000 0.0000 0.5000
4 Se 0.0000 0.5000 0.0000
5 Se 0.5000 0.0000 0.0000

Entry 4:
Here is a geometry-optimized NiIr structure from Alexandria. Energies are from PBE.

SG: Fm-3m
ΔH_f (0 K): 918 meV/atom

Unit cell a=3.4596 b=3.4596 c=3.4596 alpha=60.00 beta=60.00 gamma=60.00
Last column: magnetic moment on the atom in μB.
Element x y z (fractional)
1 Ir 0.0000 0.0000 0.0000  0.58
2 Ni 0.5000 0.5000 0.5000  0.68

Entry 5:
Here is a geometry-optimized KGa structure from Alexandria. Energies are from PBE.

SG: P-1
ΔH_f (0 K): -106 meV/atom

Unit cell a=4.4722 b=4.5020 c=9.7690 alpha=105.00 beta=90.16 gamma=120.13
Element x y z (fractional)
1 K 0.3986 0.8024 0.2368
2 K 0.6014 0.1976 0.7632
3 Ga 0.8343 0.6678 0.5000
4 Ga 0.1657 0.3322 0.5000

Entry 6:
Here is a geometry-optimized Be5CuAu8 structure from Alexandria. Energies are from PBE.

SG: I-4
ΔH_f (0 K): -43 meV/atom

Unit cell a=6.4546 b=6.4546 c=6.4546 alpha=109.09 beta=110.24 gamma=109.09
Element x y z (fractional)
1 Be 0.9767 0.3562 0.0073
2 Be 0.9927 0.9693 0.3488
3 Be 0.6512 0.6438 0.6205
4 Be 0.5000 0.0000 0.5000
5 Be 0.3795 0.0307 0.0233
6 Cu 0.2500 0.5000 0.7500
7 Au 0.0188 0.7161 0.9792
8 Au 0.0208 0.0396 0.7369
9 Au 0.7522 0.3108 0.4528
10 Au 0.5472 0.2994 0.8581
11 Au 0.5587 0.7006 0.2478
12 Au 0.6973 0.9604 0.9812
13 Au 0.2631 0.2839 0.3027
14 Au 0.1419 0.6892 0.4413

Entry 7:
Here is a geometry-optimized LaPr2Si structure from Alexandria. Energies are from PBE.

Formation energy without anion corrections: -0.160 eV/atom
SG: R3m

Unit cell a=4.1244 b=4.1244 c=9.6772 alpha=77.70 beta=77.70 gamma=60.00
Element x y z (fractional)
1 La 0.5018 0.5018 0.4946
2 Pr 0.0603 0.0603 0.8192
3 Pr 0.2723 0.2723 0.1830
4 Si 0.6656 0.6656 0.0032

Entry 8:
Here is a geometry-optimized MgBe2GaSn structure from Alexandria. Energies are from PBE.

SG: P4/mmm
ΔH_f (0 K): 1049 meV/atom

Unit cell a=4.6395 b=5.0073 c=4.6395 alpha=90.00 beta=90.00 gamma=90.00
Element x y z (fractional)
1 Be 0.0000 0.0000 0.5000
2 Be 0.5000 0.0000 0.0000
3 Mg 0.0000 0.0000 0.0000
4 Sn 0.5000 0.5000 0.5000
5 Ga 0.0000 0.5000 0.0000

Entry 9:
Here is a geometry-optimized Hf2TaZn structure from Alexandria. Energies are from PBE.

SG: R3m
ΔH_f (0 K): 65 meV/atom

Unit cell a=3.1145 b=3.1145 c=9.6414 alpha=80.70 beta=80.70 gamma=60.00
Element x y z (fractional)
1 Hf 0.0821 0.0821 0.7538
2 Hf 0.2515 0.2515 0.2456
3 Ta 0.4996 0.4996 0.5012
4 Zn 0.6669 0.6669 0.9994

Entry 10:
Here is a geometry-optimized AsPW2 structure from Alexandria. Energies are from PBE.

SG: Cm
ΔH_f (0 K): -30 meV/atom

Unit cell a=4.6175 b=4.6175 c=4.5280 alpha=74.76 beta=74.76 gamma=40.33
Element x y z (fractional)
1 As 0.4972 0.4972 0.5424
2 P 0.2569 0.2569 0.1934
3 W 0.9900 0.9900 0.0688
4 W 0.7559 0.7559 0.6954

Entry 11:
Here is a geometry-optimized Cu4Sn2Se5 structure from Alexandria. Energies are from PBE.

Formation energy without anion corrections: -0.217 eV/atom
SG: R-3m

Unit cell a=17.3974 b=17.3974 c=17.3974 alpha=13.32 beta=13.32 gamma=13.32
Element x y z (fractional)
1 Cu 0.3161 0.3161 0.3161
2 Cu 0.4115 0.4115 0.4115
3 Cu 0.5885 0.5885 0.5885
4 Cu 0.6839 0.6839 0.6839
5 Sn 0.8692 0.8692 0.8692
6 Sn 0.1308 0.1308 0.1308
7 Se 0.2394 0.2394 0.2394
8 Se 0.3650 0.3650 0.3650
9 Se 0.5000 0.5000 0.5000
10 Se 0.6350 0.6350 0.6350
11 Se 0.7606 0.7606 0.7606

Entry 12:
Here is a geometry-optimized SrHoNi2 structure from Alexandria. Energies are from PBE.

SG: P4/mmm
ΔH_f (0 K): -169 meV/atom

Unit cell a=3.4778 b=3.4778 c=7.0932 alpha=90.00 beta=90.00 gamma=90.00
Element x y z (fractional)
1 Sr 0.5000 0.5000 0.5000
2 Ho 0.5000 0.5000 0.0000
3 Ni 0.0000 0.0000 0.8052
4 Ni 0.0000 0.0000 0.1948